# PBE KCeAlO4, relaxed
data_KCeAlO4
_chemical_formula_sum 'K4 Ce4 Al4 O16'
_cell_length_a 6.787
_cell_length_b 10.291
_cell_length_c 6.980
_cell_angle_alpha 90.00
_cell_angle_beta 90.00
_cell_angle_gamma 90.00
_symmetry_space_group_name_H-M 'C m c m'
_symmetry_Int_Tables_number 63
_symmetry_space_group_name_Hall '-C 2c 2'
loop_
_atom_site_label
_atom_site_type_symbol
_atom_site_fract_x
_atom_site_fract_y
_atom_site_fract_z
_atom_site_occupancy
K1 K 0.000 0.000 0.000 1
Ce1 Ce 0.000 0.348 0.250 1
Al1 Al 0.000 0.366 0.750 1
O1 O 0.000 0.272 0.537 1
O2 O 0.193 0.487 0.750 1
# Total DFT energy (no corrections) in eV/atom: -7.056
# Energy relative to the elements, uncorrected in eV per atom: -2.683
# D(E_F) in states/eV/f.u.: 0.00

# PBE NaTl2Zn, relaxed
data_NaTl2Zn
_chemical_formula_sum 'Na1 Tl2 Zn1'
_cell_length_a 4.955
_cell_length_b 4.955
_cell_length_c 4.175
_cell_angle_alpha 90.00
_cell_angle_beta 90.00
_cell_angle_gamma 90.00
_symmetry_space_group_name_H-M 'P 4/m m m'
_symmetry_Int_Tables_number 123
_symmetry_space_group_name_Hall '-P 4 2'
loop_
_atom_site_label
_atom_site_type_symbol
_atom_site_fract_x
_atom_site_fract_y
_atom_site_fract_z
_atom_site_occupancy
Na1 Na 0.000 0.000 0.000 1
Tl1 Tl 0.000 0.500 0.500 1
Zn1 Zn 0.500 0.500 0.000 1
# Total DFT energy (no corrections) in eV/atom: -1.815
# Energy relative to the elements in eV/atom: 0.02
# D(E_F) in states/eV/f.u.: 0.92

Q: Among the records above, which one has the lowest total DFT energy (no corrections)?
A: KCeAlO4